Model P:
The following is a DFT calculation (PBE) of a relaxed structure of Cs2K2Rb.

Summary:
For the total moment, the calculation gives 0.00 μB/f.u.

Unit cell a=17.1950 b=8.0969 c=13.7347 alpha=90.00 beta=106.72 gamma=90.00
With the nearest neighbours (Å) after each atom.
Space group C2/m (No. 12)
Unique sites:
Cs 0.0559 0.0000 0.3508  5 K 4.93-5.07, 2 Cs 5.00-5.05, 4 Rb 5.16-5.46
Cs 0.1601 0.0000 0.0422  4 K 4.93-5.47, 4 Cs 5.05-5.42, 3 Rb 5.10-5.12
K 0.0398 0.5000 0.8535  2 K 4.61-4.67, 1 Rb 4.69, 5 Cs 4.93-4.94
K 0.1373 0.5000 0.5693  2 K 4.55-4.67, 3 Rb 4.75-4.88, 3 Cs 4.99-5.07
Rb 0.2442 0.5000 0.2766  4 K 4.69-4.88, 4 Cs 5.10-5.16



Model Q:
The following is a DFT calculation (PBE) of a relaxed structure of Cs2K2Rb.

Summary:
For the total moment, the calculation gives 0.00 μB/f.u.

Unit cell a=6.7550 b=6.7550 c=22.1747 alpha=90.00 beta=90.00 gamma=90.00
With the nearest neighbours (Å) after each atom.
Space group I4/mmm (No. 139)
Unique sites:
Cs 0.0000 0.5000 0.2500  4 Cs 4.78, 4 K 4.87
K 0.0000 0.0000 0.0918  1 K 4.07
Rb 0.0000 0.0000 0.5000  8 K 5.19



Least stable = model Q



Model P:
The following is a DFT calculation (PBE) of a relaxed structure of CsK2Rb6.

Summary:
For the total moment, the calculation gives 0.00 μB/f.u.

Unit cell a=7.2315 b=14.8581 c=16.5306 alpha=90.00 beta=115.80 gamma=90.00
With the nearest neighbours (Å) after each atom.
Space group P2_1/c (No. 14)
Unique sites:
Cs 0.0000 0.0000 0.0000  8 Rb 4.96-5.09, 4 K 5.09-5.10
K 0.3247 0.1662 0.8246  10 Rb 4.89-5.09, 2 Cs 5.09-5.10
Rb 0.0025 0.6660 0.0039  3 K 4.89-5.09, 8 Rb 4.93-5.09, 1 Cs 4.96
Rb 0.3332 0.6738 0.3348  6 Rb 4.91-5.08, 4 K 4.93-5.07, 2 Cs 5.07-5.09
Rb 0.3361 0.0042 0.3344  3 K 4.90-5.02, 8 Rb 4.91-5.09, 1 Cs 4.98



Model Q:
The following is a DFT calculation (PBE) of a relaxed structure of CsK2Rb6.

Summary:
For the total moment, the calculation gives 0.00 μB/f.u.

Unit cell a=16.1529 b=4.7650 c=21.5239 alpha=90.00 beta=98.45 gamma=90.00
With the nearest neighbours (Å) after each atom.
Space group C2/m (No. 12)
Unique sites:
Cs 0.0000 0.0000 0.0000  2 Cs 4.77, 8 Rb 4.85-5.18
K 0.1701 0.5000 0.6631  8 Rb 4.70-4.97, 2 K 4.77
Rb 0.0430 0.0000 0.2359  7 Rb 4.77-5.20, 3 K 4.82-4.94, 1 Cs 5.02
Rb 0.1192 0.5000 0.4427  4 K 4.70-4.97, 7 Rb 4.77-5.15
Rb 0.2183 0.5000 0.8846  1 K 4.72, 5 Rb 4.77-5.20, 3 Cs 4.85-5.18



Least stable = model Q



Model P:
The following is a DFT calculation (PBE) of a relaxed structure of CsK7Rb5.

Summary:
For the total moment, the calculation gives 0.00 μB/f.u.

Unit cell a=8.8989 b=15.9258 c=15.7200 alpha=90.00 beta=90.00 gamma=90.00
With the nearest neighbours (Å) after each atom.
Space group Imm2 (No. 44)
Unique sites:
Cs 0.0000 0.0000 0.0000  10 K 5.41-5.77, 6 Rb 5.45-5.95
K 0.0000 0.0000 0.3580  3 K 4.42-4.93, 4 Rb 4.84
K 0.0000 0.0000 0.6390  3 K 4.42-4.93, 4 Rb 4.91
K 0.0000 0.2768 0.4983  5 Rb 4.51-4.73, 5 K 4.72-4.97
K 0.0000 0.3625 0.9962  1 K 4.38, 4 Rb 4.83-4.88
K 0.0000 0.5000 0.6963  4 Rb 4.58, 4 K 4.72-5.12
Rb 0.0000 0.5000 0.2999  4 Rb 4.68, 4 K 4.73-5.12
Rb 0.2499 0.2465 0.2467  3 Rb 4.45-4.68, 7 K 4.51-4.91



Model Q:
The following is a DFT calculation (PBE) of a relaxed structure of CsK7Rb5.

Summary:
For the total moment, the calculation gives 0.00 μB/f.u.

Unit cell a=18.3287 b=17.0062 c=7.5876 alpha=90.00 beta=114.24 gamma=90.00
With the nearest neighbours (Å) after each atom.
Space group Cm (No. 8)
Unique sites:
Cs 0.0000 0.0000 0.0000  6 Rb 4.74-5.23, 4 K 5.18-5.31
K 0.0001 0.2195 0.4971  3 K 4.63-5.13, 6 Rb 5.02-5.16
K 0.1212 0.5000 0.6198  1 K 4.20, 4 Rb 4.54-4.70
K 0.2107 0.0000 0.7088  4 K 4.61-5.13, 4 Rb 5.08-5.13
K 0.3699 0.0000 0.3703  3 K 4.20-4.66, 2 Rb 4.47
K 0.4960 0.1237 0.9949  3 K 4.21-4.65, 2 Rb 4.44-4.50
Rb 0.1971 0.2005 0.1903  2 Rb 4.47, 2 K 4.47-4.50, 1 Cs 4.74
Rb 0.2869 0.5000 0.2837  4 K 4.69-5.16, 4 Rb 5.10-5.15, 2 Cs 5.18-5.23
Rb 0.2980 0.2977 0.7908  2 K 4.44-4.54, 2 Rb 4.47, 1 Cs 4.82



Model R:
The following is a DFT calculation (PBE) of a relaxed structure of CsK7Rb5.

Summary:
For the total moment, the calculation gives 0.00 μB/f.u.

Unit cell a=8.8084 b=8.8084 c=32.3225 alpha=90.00 beta=90.00 gamma=120.00
With the nearest neighbours (Å) after each atom.
Space group P6_3/mmc (No. 194)
Unique sites:
Cs 0.3333 0.6667 0.2500  6 K 5.08, 9 Rb 5.09-5.58
K 0.0000 0.0000 0.0000  6 K 4.48
K 0.1674 0.3348 0.1138  5 K 4.38-4.48, 2 Rb 4.88
Rb 0.0000 0.0000 0.2500  3 Cs 5.09, 6 K 5.09, 6 Rb 5.58
Rb 0.3333 0.6667 0.5244  4 Rb 5.00-5.32, 12 K 5.14-5.27
Rb 0.3333 0.6667 0.6790  2 Rb 4.59-5.00, 6 K 4.88



Least stable = model P



Model P:
The following is a DFT calculation (PBE) of a relaxed structure of CsK4Rb2.

Summary:
For the total moment, the calculation gives 0.00 μB/f.u.

Unit cell a=9.4468 b=11.6337 c=11.9476 alpha=79.62 beta=77.80 gamma=77.33
With the nearest neighbours (Å) after each atom.
Space group P1 (No. 1)
Unique sites:
Cs 0.0000 0.0000 0.0000  4 K 4.47-5.00, 1 Cs 4.70
Cs 0.4486 0.0784 0.0482  4 K 4.47-5.00, 1 Cs 4.70
K 0.4643 0.7899 0.7771  1 K 4.25, 3 Rb 4.39-4.53
K 0.5289 0.3016 0.2880  4 K 4.25-4.74, 1 Rb 4.44, 1 Cs 4.47
K 0.6483 0.6729 0.1479  5 K 4.49-4.98, 1 Rb 4.63, 1 Cs 4.72
K 0.6537 0.1635 0.6558  5 K 4.46-4.97, 1 Rb 4.52, 1 Cs 4.69
K 0.7963 0.9150 0.3922  5 K 4.46-4.98, 1 Rb 4.52, 1 Cs 4.69
K 0.8020 0.4059 0.8987  5 K 4.49-4.97, 1 Rb 4.63, 1 Cs 4.72
K 0.9221 0.7770 0.7588  4 K 4.25-4.74, 1 Rb 4.44, 1 Cs 4.47
K 0.9855 0.2898 0.2711  1 K 4.25, 3 Rb 4.39-4.54
Rb 0.2232 0.5383 0.5232  2 K 4.44, 2 Rb 4.72-4.73
Rb 0.2255 0.0387 0.5232  4 K 4.42-4.78
Rb 0.2252 0.5392 0.0234  4 K 4.39-4.80
Rb 0.7224 0.5399 0.5239  6 K 4.52-4.63, 2 Rb 4.72-4.73



Model Q:
The following is a DFT calculation (PBE) of a relaxed structure of CsK4Rb2.

Summary:
For the total moment, the calculation gives 0.00 μB/f.u.

Unit cell a=16.0493 b=8.8809 c=16.6553 alpha=90.00 beta=90.00 gamma=90.00
With the nearest neighbours (Å) after each atom.
Space group Cmce (No. 64)
Unique sites:
Cs 0.0000 0.0000 0.0000  2 K 4.79, 6 Rb 5.09-5.32
K 0.0000 0.0064 0.2874  2 Rb 4.60, 6 K 4.61-4.64, 1 Cs 4.79
K 0.2500 0.2461 0.7500  6 K 4.44-4.64, 4 Rb 4.82-4.86
Rb 0.1829 0.0000 0.5000  6 K 4.60-4.86, 2 Rb 4.94, 1 Cs 5.09



Least stable = model P



Model P:
The following is a DFT calculation (PBE) of a relaxed structure of Cs2K3Rb3.

Summary:
For the total moment, the calculation gives 0.00 μB/f.u.

Unit cell a=7.2467 b=7.2708 c=27.0362 alpha=90.00 beta=90.00 gamma=90.00
With the nearest neighbours (Å) after each atom.
Space group Immm (No. 71)
Unique sites:
Cs 0.0000 0.0000 0.2497  4 Rb 5.12-5.14, 4 Cs 5.13, 4 K 5.15-5.16
K 0.0000 0.0000 0.0000  4 K 4.78, 8 Rb 4.79-5.13
K 0.0000 0.5000 0.1145  6 Rb 4.77-5.13, 2 K 4.78, 4 Cs 5.15-5.16
Rb 0.0000 0.0000 0.5000  8 K 4.77-5.13, 4 Rb 4.80
Rb 0.0000 0.5000 0.3843  6 K 4.79-5.13, 2 Rb 4.80, 4 Cs 5.12-5.14



Model Q:
The following is a DFT calculation (PBE) of a relaxed structure of Cs2K3Rb3.

Summary:
For the total moment, the calculation gives 0.00 μB/f.u.

Unit cell a=13.0043 b=13.0043 c=4.9918 alpha=90.00 beta=90.00 gamma=120.00
With the nearest neighbours (Å) after each atom.
Space group P-62m (No. 189)
Unique sites:
Cs 0.3333 0.6667 0.0000  6 K 4.80, 2 Cs 4.99, 3 Rb 5.10
K 0.0000 0.6274 0.5000  4 Cs 4.80, 4 Rb 4.92, 2 K 4.99
Rb 0.0000 0.2349 0.0000  4 K 4.92, 4 Rb 4.99-5.29, 2 Cs 5.10



Least stable = model Q



Model P:
The following is a DFT calculation (PBE) of a relaxed structure of CsK3Rb7.

Summary:
For the total moment, the calculation gives 0.00 μB/f.u.

Unit cell a=16.3927 b=16.1500 c=8.4595 alpha=90.00 beta=115.45 gamma=90.00
With the nearest neighbours (Å) after each atom.
Space group C2/m (No. 12)
Unique sites:
Cs 0.0000 0.0000 0.0000  2 Rb 4.23
K 0.0000 0.2744 0.5000  7 Rb 4.43-4.87
K 0.0000 0.5000 0.0000  4 Rb 4.36
Rb 0.0000 0.0000 0.5000  2 Cs 4.23, 2 K 4.43
Rb 0.1812 0.5000 0.6579  4 K 4.53-5.06, 1 Cs 4.76
Rb 0.1897 0.2940 0.1895  3 K 4.36-4.87, 1 Rb 4.65



Model Q:
The following is a DFT calculation (PBE) of a relaxed structure of CsK3Rb7.

Summary:
For the total moment, the calculation gives 0.00 μB/f.u.

Unit cell a=15.0530 b=15.0530 c=5.0898 alpha=90.00 beta=90.00 gamma=120.00
With the nearest neighbours (Å) after each atom.
Space group P3m1 (No. 156)
Unique sites:
Cs 0.0000 0.0000 0.0000  6 K 4.86-4.99, 2 Cs 5.09
K 0.3235 0.1618 0.5238  5 Rb 4.58-4.83, 2 Cs 4.86-4.99, 2 K 5.09
Rb 0.1991 0.3981 0.3913  6 Rb 4.79-5.09, 2 K 4.83
Rb 0.5089 0.0178 0.9180  8 Rb 4.63-5.09, 2 K 4.75
Rb 0.6667 0.3333 0.3349  3 K 4.58, 8 Rb 4.63-5.09



Least stable = model P



Model P:
The following is a DFT calculation (PBE) of a relaxed structure of CsKRb.

Summary:
For the total moment, the calculation gives 0.00 μB/f.u.

Unit cell a=7.8821 b=9.2192 c=9.7310 alpha=62.68 beta=66.12 gamma=64.80
With the nearest neighbours (Å) after each atom.
Space group P-1 (No. 2)
Unique sites:
Cs 0.1762 0.2431 0.4053  4 K 4.93-4.96, 5 Rb 5.06-5.48, 3 Cs 5.12-5.49
K 0.1533 0.7658 0.9271  1 K 4.52, 3 Rb 4.72-4.78, 4 Cs 4.93-4.96
Rb 0.4782 0.2725 0.7705  3 K 4.72-4.78, 2 Rb 4.95-4.99, 3 Cs 5.06-5.17



Model Q:
The following is a DFT calculation (PBE) of a relaxed structure of CsKRb.

Summary:
For the total moment, the calculation gives 0.00 μB/f.u.

Unit cell a=4.9278 b=4.9499 c=23.5119 alpha=89.45 beta=89.97 gamma=74.49
With the nearest neighbours (Å) after each atom.
Space group P-1 (No. 2)
Unique sites:
Cs 0.2415 0.2666 0.0954  2 K 4.91-4.96, 6 Cs 4.93-5.50
K 0.2577 0.2300 0.7374  2 Rb 4.69-4.71, 2 Cs 4.91-4.96, 4 K 4.93-4.95
Rb 0.2436 0.2566 0.4171  2 K 4.69-4.71, 6 Rb 4.88-4.95



Least stable = model Q



Model P:
The following is a DFT calculation (PBE) of a relaxed structure of Cs2K8Rb3.

Summary:
For the total moment, the calculation gives 0.00 μB/f.u.

Unit cell a=8.7993 b=8.7993 c=51.1226 alpha=90.00 beta=90.00 gamma=120.00
With the nearest neighbours (Å) after each atom.
Space group R-3m (No. 166, hexagonal axes)
Unique sites:
Cs 0.0000 0.0000 0.1410  4 K 4.54-4.78
K 0.0000 0.0000 0.2299  1 Rb 4.48, 1 Cs 4.54, 6 K 4.89
K 0.0016 0.5008 0.2714  6 K 4.38-4.89, 1 Rb 4.71, 1 Cs 4.78
Rb 0.0000 0.0000 0.3174  10 K 4.48-4.99
Rb 0.0000 0.0000 0.5000  6 Cs 5.25



Model Q:
The following is a DFT calculation (PBE) of a relaxed structure of Cs2K8Rb3.

Summary:
For the total moment, the calculation gives 0.00 μB/f.u.

Unit cell a=12.0641 b=5.0945 c=17.6471 alpha=90.00 beta=95.89 gamma=90.00
With the nearest neighbours (Å) after each atom.
Space group P2/m (No. 10)
Unique sites:
Cs 0.1976 0.0000 0.4485  8 K 4.78-5.20, 3 Cs 5.09-5.27
K 0.1100 0.5000 0.2137  4 K 4.53-4.62, 2 Rb 4.63, 2 Cs 4.89
K 0.1837 0.0000 0.7182  6 K 4.62-5.09, 2 Rb 4.70, 1 Cs 4.78
K 0.4037 0.0000 0.1621  4 K 4.53-4.56, 4 Rb 4.73-4.80
K 0.4748 0.5000 0.6319  7 K 4.56-5.09, 4 Cs 5.03-5.09
Rb 0.0000 0.0000 0.0000  4 K 4.63, 6 Rb 4.77-5.09
Rb 0.3107 0.5000 0.9338  6 K 4.70-4.80, 5 Rb 4.77-5.09



Least stable = model P



Model P:
The following is a DFT calculation (PBE) of a relaxed structure of CsK2Rb4.

Summary:
For the total moment, the calculation gives 0.00 μB/f.u.

Unit cell a=8.9894 b=12.1584 c=12.3789 alpha=88.91 beta=68.84 gamma=87.18
With the nearest neighbours (Å) after each atom.
Space group P1 (No. 1)
Unique sites:
Cs 0.0000 0.0000 0.0000  2 K 4.67-4.99, 3 Rb 4.99-5.18
Cs 0.4111 0.1775 0.1476  5 Rb 4.76-5.30, 1 K 5.08, 2 Cs 5.24-5.30
K 0.1217 0.7105 0.7345  1 Cs 4.67, 4 Rb 4.68-5.11, 4 K 4.99-5.20
K 0.2055 0.0932 0.5787  8 Rb 4.62-5.15, 1 K 4.99, 2 Cs 4.99-5.08
K 0.7067 0.5943 0.5761  8 Rb 4.54-5.04, 3 K 5.04-5.07
K 0.9328 0.5305 0.1432  7 Rb 4.78-5.12, 2 K 5.06-5.20
Rb 0.0643 0.8417 0.3567  3 Rb 4.48-4.94, 2 K 4.59-4.66, 1 Cs 4.99
Rb 0.2894 0.4756 0.4137  4 K 4.68-5.13, 1 Cs 4.76, 4 Rb 4.94-5.23
Rb 0.3446 0.3508 0.8004  2 Rb 4.44-4.56, 4 K 4.60-4.97, 1 Cs 4.97
Rb 0.4847 0.6701 0.0051  6 Rb 4.80-5.27, 3 K 5.00-5.12
Rb 0.5694 0.8381 0.3423  3 Rb 4.48-4.99, 3 K 4.54-4.91
Rb 0.6328 0.9690 0.7338  6 Rb 4.80-5.37, 4 K 4.91-5.28
Rb 0.7857 0.2279 0.4073  4 K 4.78-5.21, 4 Rb 4.91-5.23
Rb 0.8427 0.3522 0.8173  3 Rb 4.44-4.94, 3 K 4.58-4.95



Model Q:
The following is a DFT calculation (PBE) of a relaxed structure of CsK2Rb4.

Summary:
For the total moment, the calculation gives 0.00 μB/f.u.

Unit cell a=16.9834 b=9.1034 c=16.5275 alpha=90.00 beta=90.00 gamma=90.00
With the nearest neighbours (Å) after each atom.
Space group Cmce (No. 64)
Unique sites:
Cs 0.0000 0.0000 0.0000  2 K 4.88, 6 Rb 5.33-5.42
K 0.2126 0.0000 0.5000  6 Rb 4.65-4.76, 2 K 4.73, 1 Cs 4.88
Rb 0.0000 0.0007 0.3225  2 K 4.65, 6 Rb 4.96-5.14
Rb 0.2500 0.2491 0.7500  6 Rb 4.55-4.96, 4 K 4.76



Least stable = model Q